DFT (PBE) results for a relaxed structure of LiAgPt2.

## Properties
crystal system: tetragonal
E_form: -36 meV per atom
distance to the lowest polymorph of the same formula: 310.6 meV per atom
SG: I-42d (122)
size of the total moment: 0.000 μB per formula unit

Cell lengths 9.8257, 9.8257, 9.8257 Å; angles 157.83, 157.83, 31.55 degrees
Sites, in units of the cell vectors:
1 Li 0.0000 0.0000 0.0000
2 Li 0.7500 0.2500 0.5000
3 Ag 0.2500 0.7500 0.5000
4 Ag 0.5000 0.5000 0.0000
5 Pt 0.1171 0.1250 0.4921
6 Pt 0.3750 0.8829 0.0079
7 Pt 0.6329 0.6250 0.5079
8 Pt 0.8750 0.3671 0.9921

***

DFT (PBE) results for a relaxed structure of LiHRh.

## Properties
uncorrected energy: -26.72 eV per cell
crystal system: monoclinic
SG: C2/m (12)
size of the total moment: 0.000 μB per formula unit

Cell lengths 5.2448, 5.2448, 4.6606 Å; angles 116.30, 116.30, 31.45 degrees
Sites, in units of the cell vectors:
1 Li 0.1189 0.1189 0.2743
2 Li 0.8811 0.8811 0.7257
3 H 0.2362 0.2362 0.7792
4 H 0.7638 0.7638 0.2208
5 Rh 0.3748 0.3748 0.2302
6 Rh 0.6252 0.6252 0.7698